A PBEsol-optimized structure of CuAgPt2F, computed with SCAN.

Cell lengths 4.2467, 4.2467, 4.3728 Å; angles 90.00, 90.00, 90.00 degrees
Last column: nearest neighbours and their distance in Å.
Positions (direct):
Cu1 0.5000 0.5000 0.5000  4 Ag 3.00, 8 Pt 3.05
Pt1 0.5000 0.0000 0.0000  2 F 2.12
Pt2 0.0000 0.5000 0.0000  2 F 2.12
Ag1 0.0000 0.0000 0.5000  2 F 2.19
F1 0.0000 0.0000 0.0000  4 Pt 2.12, 2 Ag 2.19

Summary:
The value obtained for the volume is 79 Å³ per cell. Its crystal system is tetragonal. The density of states at the Fermi level comes out at 3.10 states/eV/cell. Its total moment is 0.000 μB/f.u. The calculation puts the formation energy without anion corrections at 67.9 kJ per mole of atoms.

A PBEsol-optimized structure of CaAgOs2, computed with SCAN.

Cell lengths 3.8176, 3.8176, 4.5635 Å; angles 90.00, 90.00, 90.00 degrees
Last column: nearest neighbours and their distance in Å.
Positions (direct):
Os1 0.0000 0.5000 0.0000  4 Os 2.70, 4 Ca 2.97, 4 Ag 2.97
Os2 0.5000 0.0000 0.0000  4 Os 2.70, 4 Ca 2.97, 4 Ag 2.97
Ca1 0.0000 0.0000 0.5000  4 Ag 2.70, 8 Os 2.97
Ag1 0.5000 0.5000 0.5000  4 Ca 2.70, 8 Os 2.97

Summary:
The value obtained for the volume is 67 Å³ per cell. Its crystal system is tetragonal. Its formation energy is 0.68 eV per atom. The density of states at the Fermi level comes out at 3.37 states/eV/cell. Its total moment is 0.001 μB/f.u. The energy relative to the lowest polymorph listed for this composition is 0.0 meV/atom.

Look up the total moment of the first one.
0.000 μB/f.u.